[1]
The following is a DFT calculation (PBEsol) of a relaxed structure of Sr2CuBr.

Values from the calculation:
space-group type	No. 166
formation energy from raw total energies	-731	meV/atom
relative energy among the computed polymorphs	0.000	eV per atom
electronic total energy	-12.8	eV per cell

Cell lengths 4.2545, 4.2545, 8.3258 Å; angles 75.20, 75.20, 60.00 degrees
Fractional coordinates of all 4 atoms:
Sr  0.7392  0.7392  0.7823
Sr  0.2608  0.2608  0.2177
Br  0.5000  0.5000  0.5000
Cu  0.0000  0.0000  0.0000


[2]
The following is a DFT calculation (PBEsol) of a relaxed structure of Tc2RuPt.

Values from the calculation:
space-group type	No. 25
relative energy among the computed polymorphs	0.000	eV per atom
DFT formation energy	-164	meV/atom
electronic total energy	-40.3	eV per cell

Cell lengths 2.7042, 4.3274, 4.7504 Å; angles 90.00, 90.00, 90.00 degrees
Fractional coordinates of all 4 atoms:
Ru  0.5000  0.5000  0.2039
Tc  0.0000  0.0000  0.0377
Tc  0.0000  0.5000  0.7183
Pt  0.5000  0.0000  0.5400


[3]
The following is a DFT calculation (PBEsol) of a relaxed structure of Fe5As.

Values from the calculation:
space-group type	No. 123
DFT formation energy	27	meV/atom
electronic total energy	-49.8	eV per cell

Cell lengths 2.8773, 2.8773, 8.1631 Å; angles 90.00, 90.00, 90.00 degrees
Site moments in Bohr magnetons follow the coordinates.
Fractional coordinates of all 6 atoms:
As  0.5000  0.5000  0.0000  -0.03
Fe  0.0000  0.0000  0.8346  1.49
Fe  0.0000  0.0000  0.1654  1.49
Fe  0.5000  0.5000  0.6661  2.49
Fe  0.5000  0.5000  0.3339  2.49
Fe  0.0000  0.0000  0.5000  2.31